# 1
A relaxed Pm5ErTm3 crystal, computed with PBE.

abc: 9.236 9.236 14.196
angles: 90.00 90.00 90.00
Space group I4/mcm (No. 140)
Asymmetric unit:
Pm 0.000 0.000 0.000 [4 per cell]
Pm 0.201 0.299 0.132 [16 per cell]
Er 0.000 0.500 0.250 [4 per cell]
Tm 0.000 0.000 0.250 [4 per cell]
Tm 0.110 0.390 0.500 [8 per cell]

Calculated values
theoretical density: 7.67 g cm⁻³
excess energy over the best structure of this formula in the dataset: 122 kJ/mol of formula units
total DFT energy (no corrections): -4.316 eV/atom



# 2
A relaxed Pm3Er2Tm8 crystal, computed with PBE.

abc: 6.098 7.890 9.335
angles: 65.09 83.80 82.49
Space group P-1 (No. 2)
Asymmetric unit:
Pm 0.000 0.000 0.000 [1 per cell]
Pm 0.309 0.386 0.768 [2 per cell]
Er 0.078 0.847 0.692 [2 per cell]
Tm 0.153 0.693 0.386 [2 per cell]
Tm 0.230 0.537 0.077 [2 per cell]
Tm 0.384 0.229 0.462 [2 per cell]
Tm 0.461 0.078 0.156 [2 per cell]

Calculated values
theoretical density: 8.74 g cm⁻³
excess energy over the best structure of this formula in the dataset: 0 kJ/mol of formula units
total DFT energy (no corrections): -4.526 eV/atom



# 3
A relaxed PmEr2Tm3 crystal, computed with PBE.

abc: 17.245 7.046 6.090
angles: 90.00 90.20 90.00
Space group C2/c (No. 15)
Asymmetric unit:
Pm 0.000 0.126 0.250 [4 per cell]
Er 0.167 0.375 0.418 [8 per cell]
Tm 0.000 0.376 0.750 [4 per cell]
Tm 0.168 0.125 0.916 [8 per cell]

Calculated values
theoretical density: 8.85 g cm⁻³
excess energy over the best structure of this formula in the dataset: 0 kJ/mol of formula units
total DFT energy (no corrections): -4.524 eV/atom



Number 3 is which compound?
PmEr2Tm3



What is the theoretical density in the first record?
7.67 g cm⁻³



Among the records above, which one has the lowest theoretical density?
Pm5ErTm3